P:
The following is a DFT calculation (PBEsol) of a relaxed Al2Ag3 crystal.

Total moment = 0.00 Bohr magnetons per cell
Space group = R-3m (166)
Calculated volume = 16.18 Å³/atom

Cell lengths 2.8998, 2.8998, 33.3170 Å; angles 90.00, 90.00, 120.00 degrees
Atoms (fractional coordinates):
Al (0.0000, 0.0000, 0.1002)
Al (0.0000, 0.0000, 0.8998)
Al (0.3333, 0.6667, 0.5665)
Al (0.3333, 0.6667, 0.7669)
Al (0.6667, 0.3333, 0.2331)
Al (0.6667, 0.3333, 0.4335)
Ag (0.0000, 0.0000, 0.2979)
Ag (0.0000, 0.0000, 0.5000)
Ag (0.0000, 0.0000, 0.7021)
Ag (0.3333, 0.6667, 0.1667)
Ag (0.3333, 0.6667, 0.3688)
Ag (0.3333, 0.6667, 0.9645)
Ag (0.6667, 0.3333, 0.0355)
Ag (0.6667, 0.3333, 0.6312)
Ag (0.6667, 0.3333, 0.8333)

=====

Q:
The following is a DFT calculation (PBEsol) of a relaxed Al2Ag3 crystal.

Total moment = 0.00 Bohr magnetons per cell
Space group = P4_2/m (84)
Calculated volume = 16.07 Å³/atom

Cell lengths 6.3675, 6.3675, 3.9625 Å; angles 90.00, 90.00, 90.00 degrees
Atoms (fractional coordinates):
Al (0.1050, 0.7998, 0.0000)
Al (0.2002, 0.1050, 0.5000)
Al (0.7998, 0.8950, 0.5000)
Al (0.8950, 0.2002, 0.0000)
Ag (0.0000, 0.5000, 0.5000)
Ag (0.2904, 0.3991, 0.0000)
Ag (0.3991, 0.7096, 0.5000)
Ag (0.5000, 0.0000, 0.0000)
Ag (0.6009, 0.2904, 0.5000)
Ag (0.7096, 0.6009, 0.0000)

=====

Stability, descending: Q, P